Here is a relaxed Sr2SbTe crystal from Alexandria. Energies are from PBE-GGA.

a = 5.6508 Å, b = 3.8803 Å, c = 12.8174 Å
α = 90.00°, β = 90.00°, γ = 90.00°
Last column: nearest neighbours and their distance in Å.
Atoms (fractional coordinates):
Sr1 0.0000 0.0000 0.0000  3 Te 3.37-3.60, 4 Sb 3.43
Sr2 0.0000 0.5000 0.5000  3 Te 3.37-3.60, 4 Sb 3.43
Sr3 0.5000 0.0000 0.2356  3 Sb 3.35-3.62, 4 Te 3.43
Sr4 0.5000 0.5000 0.7356  3 Sb 3.35-3.62, 4 Te 3.43
Sb1 0.5000 0.0000 0.4970  7 Sr 3.35-3.62
Sb2 0.5000 0.5000 0.9970  7 Sr 3.35-3.62
Te1 0.0000 0.0000 0.7370  7 Sr 3.37-3.60
Te2 0.0000 0.5000 0.2370  7 Sr 3.37-3.60

Output
- electronic total energy (eV/atom) = -3.79

---

Here is a relaxed TiBeN3 crystal from Alexandria. Energies are from PBE-GGA.

a = 3.4088 Å, b = 3.4088 Å, c = 3.4088 Å
α = 90.00°, β = 90.00°, γ = 90.00°
Last column: nearest neighbours and their distance in Å.
Atoms (fractional coordinates):
Ti1 0.0000 0.0000 0.0000  12 N 2.41
Be1 0.5000 0.5000 0.5000  6 N 1.70
N1 0.0000 0.5000 0.5000  2 Be 1.70
N2 0.5000 0.0000 0.5000  2 Be 1.70
N3 0.5000 0.5000 0.0000  2 Be 1.70

Output
- electronic total energy (eV/atom) = -6.83

---

Here is a relaxed Tm6PtSe3S2 crystal from Alexandria. Energies are from PBE-GGA.

a = 6.9062 Å, b = 6.9062 Å, c = 6.9347 Å
α = 99.64°, β = 99.64°, γ = 120.02°
Last column: nearest neighbours and their distance in Å.
Atoms (fractional coordinates):
Tm1 0.0755 0.4060 0.2310  1 Pt 2.73, 2 S 2.76-2.77, 3 Se 2.87-2.89
Tm2 0.2523 0.2523 0.7655  1 Pt 2.75, 2 S 2.76, 3 Se 2.90-2.92
Tm3 0.4060 0.0755 0.2310  1 Pt 2.73, 2 S 2.76-2.77, 3 Se 2.87-2.89
Tm4 0.5940 0.9245 0.7690  1 Pt 2.73, 2 S 2.76-2.77, 3 Se 2.87-2.89
Tm5 0.7477 0.7477 0.2345  1 Pt 2.75, 2 S 2.76, 3 Se 2.90-2.92
Tm6 0.9245 0.5940 0.7690  1 Pt 2.73, 2 S 2.76-2.77, 3 Se 2.87-2.89
Pt1 0.0000 0.0000 0.0000  6 Tm 2.73-2.75
Se1 0.1718 0.8282 0.5000  6 Tm 2.87-2.92
Se2 0.5000 0.5000 0.5000  6 Tm 2.89-2.90
Se3 0.8282 0.1718 0.5000  6 Tm 2.87-2.92
S1 0.3344 0.6656 0.0000  6 Tm 2.76-2.77
S2 0.6656 0.3344 0.0000  6 Tm 2.76-2.77

Output
- electronic total energy (eV/atom) = -6.02

---

Here is a relaxed ReSi2Ni crystal from Alexandria. Energies are from PBE-GGA.

a = 4.0632 Å, b = 4.0632 Å, c = 3.0255 Å
α = 90.00°, β = 90.00°, γ = 90.00°
Last column: nearest neighbours and their distance in Å.
Atoms (fractional coordinates):
Re1 0.0000 0.0000 0.0000  8 Si 2.53
Si1 0.0000 0.5000 0.5000  4 Re 2.53, 4 Ni 2.53
Si2 0.5000 0.0000 0.5000  4 Re 2.53, 4 Ni 2.53
Ni1 0.5000 0.5000 0.0000  8 Si 2.53

Output
- electronic total energy (eV/atom) = -7.50

---

Repeat the fourth record exactly.
Here is a relaxed ReSi2Ni crystal from Alexandria. Energies are from PBE-GGA.

a = 4.0632 Å, b = 4.0632 Å, c = 3.0255 Å
α = 90.00°, β = 90.00°, γ = 90.00°
Last column: nearest neighbours and their distance in Å.
Atoms (fractional coordinates):
Re1 0.0000 0.0000 0.0000  8 Si 2.53
Si1 0.0000 0.5000 0.5000  4 Re 2.53, 4 Ni 2.53
Si2 0.5000 0.0000 0.5000  4 Re 2.53, 4 Ni 2.53
Ni1 0.5000 0.5000 0.0000  8 Si 2.53

Output
- electronic total energy (eV/atom) = -7.50

---

Repeat the fourth record exactly.
Here is a relaxed ReSi2Ni crystal from Alexandria. Energies are from PBE-GGA.

a = 4.0632 Å, b = 4.0632 Å, c = 3.0255 Å
α = 90.00°, β = 90.00°, γ = 90.00°
Last column: nearest neighbours and their distance in Å.
Atoms (fractional coordinates):
Re1 0.0000 0.0000 0.0000  8 Si 2.53
Si1 0.0000 0.5000 0.5000  4 Re 2.53, 4 Ni 2.53
Si2 0.5000 0.0000 0.5000  4 Re 2.53, 4 Ni 2.53
Ni1 0.5000 0.5000 0.0000  8 Si 2.53

Output
- electronic total energy (eV/atom) = -7.50

---

What is the electronic total energy in the fourth record?
-7.50 eV/atom

---

The lowest electronic total energy belongs to which entry?
ReSi2Ni